VASP calculation (PBE) on a relaxed structure of TiBeTe2I.

Structure (extended XYZ):
```
5
Lattice="5.2800 0.0000 0.0000 0.0000 5.2800 0.0000 0.0000 0.0000 5.7384" Properties=species:S:1:pos:R:3 pbc="T T T"
Ti 0.0000 0.0000 0.0000
Be 2.6400 2.6400 2.8692
Te 2.6400 0.0000 0.0000
I 0.0000 0.0000 2.8692
Te 0.0000 2.6400 0.0000
```

Results
Raw formation energy: 0.408 eV/atom
Total magnetization: 0.00 μB/atom
Calculated volume: 32.00 Å³/atom
Calculated total energy: -3.482 eV/atom